Compound: HoHfSc3
Source: the Alexandria database
Functional: PBE
Structure: optimized geometry

a b c (Å): 5.159 3.240 14.787
angles (deg): 90.00 90.00 90.00
Space group Pmma (No. 51)
Inequivalent atoms, fractional coordinates:
Ho: 0.250 0.000 0.145 [2 per cell]
Hf: 0.250 0.500 0.356 [2 per cell]
Sc: 0.250 0.000 0.547 [2 per cell]
Sc: 0.250 0.000 0.739 [2 per cell]
Sc: 0.250 0.500 0.937 [2 per cell]

- magnetic moment (μB/cell) = 0.0
- DFT total energy (eV/atom) = -6.63
- calculated formation energy (kJ/mol of atoms) = 7



Compound: Ti5Si4H
Source: the Alexandria database
Functional: PBE
Structure: optimized geometry

a b c (Å): 7.873 7.873 5.050
angles (deg): 90.00 90.00 90.00
Space group I4 (No. 79)
Inequivalent atoms, fractional coordinates:
Ti: 0.000 0.000 0.000 [2 per cell]
Ti: 0.102 0.703 0.606 [8 per cell]
Si: 0.097 0.701 0.104 [8 per cell]
H: 0.000 0.000 0.616 [2 per cell]

- magnetic moment (μB/cell) = 0.0
- DFT total energy (eV/atom) = -6.77



Compound: Sr2LiMn
Source: the Alexandria database
Functional: PBE
Structure: optimized geometry

a b c (Å): 10.105 3.866 7.468
angles (deg): 90.00 100.07 90.00
Space group C2/m (No. 12)
Inequivalent atoms, fractional coordinates:
Sr: 0.241 0.000 0.232 [4 per cell]
Li: 0.000 0.000 0.500 [2 per cell]
Mn: 0.000 0.500 0.000 [2 per cell]

- magnetic moment (μB/cell) = 7.0
- DFT total energy (eV/atom) = -3.10
- calculated formation energy (kJ/mol of atoms) = 49



Compound: BaMg4Hg
Source: the Alexandria database
Functional: PBE
Structure: optimized geometry

a b c (Å): 4.756 18.219 7.964
angles (deg): 90.00 90.00 90.00
Space group Cmcm (No. 63)
Inequivalent atoms, fractional coordinates:
Ba: 0.000 0.120 0.250 [4 per cell]
Mg: 0.000 0.079 0.750 [4 per cell]
Mg: 0.000 0.316 0.062 [8 per cell]
Mg: 0.000 0.500 0.000 [4 per cell]
Hg: 0.000 0.236 0.750 [4 per cell]

- magnetic moment (μB/cell) = 0.0
- DFT total energy (eV/atom) = -1.58
- calculated formation energy (kJ/mol of atoms) = -14



Compound: CeYAlCu
Source: the Alexandria database
Functional: PBE
Structure: optimized geometry

a b c (Å): 7.199 7.199 7.199
angles (deg): 90.00 90.00 90.00
Space group F-43m (No. 216)
Inequivalent atoms, fractional coordinates:
Ce: 0.000 0.000 0.000 [4 per cell]
Y: 0.000 0.000 0.500 [4 per cell]
Al: 0.250 0.250 0.750 [4 per cell]
Cu: 0.250 0.250 0.250 [4 per cell]

- magnetic moment (μB/cell) = 3.2
- DFT total energy (eV/atom) = -5.24
- calculated formation energy (kJ/mol of atoms) = -18



Compound: NdErCuAu
Source: the Alexandria database
Functional: PBE
Structure: optimized geometry

a b c (Å): 7.190 7.190 7.190
angles (deg): 90.00 90.00 90.00
Space group F-43m (No. 216)
Inequivalent atoms, fractional coordinates:
Nd: 0.000 0.000 0.000 [4 per cell]
Er: 0.000 0.000 0.500 [4 per cell]
Cu: 0.250 0.250 0.250 [4 per cell]
Au: 0.250 0.250 0.750 [4 per cell]

- magnetic moment (μB/cell) = 0.0
- DFT total energy (eV/atom) = -4.67
- calculated formation energy (kJ/mol of atoms) = -47



Compound: Ba2SrIr
Source: the Alexandria database
Functional: PBE
Structure: optimized geometry

a b c (Å): 4.372 10.315 7.599
angles (deg): 90.00 106.71 90.00
Space group P2_1/m (No. 11)
Inequivalent atoms, fractional coordinates:
Ba: 0.152 0.072 0.303 [4 per cell]
Sr: 0.406 0.250 0.810 [2 per cell]
Ir: 0.238 0.750 0.478 [2 per cell]

- magnetic moment (μB/cell) = 0.0
- DFT total energy (eV/atom) = -3.72
- calculated formation energy (kJ/mol of atoms) = -12



Compound: Rb3Ac3WS8
Source: the Alexandria database
Functional: PBE
Structure: optimized geometry

a b c (Å): 8.5018 8.5018 23.5886
angles (deg): 90.00 90.00 120.00
Space group R-3m (No. 166, hexagonal axes)
Inequivalent atoms, fractional coordinates:
Rb: 0.0000 0.5000 0.0000 [9 per cell]
Ac: 0.0000 0.5000 0.5000 [9 per cell]
W: 0.0000 0.0000 0.5000 [3 per cell]
S: 0.0000 0.0000 0.2365 [6 per cell]
S: 0.0486 0.5243 0.2268 [18 per cell]

- magnetic moment (μB/cell) = 6.0
- raw formation energy (eV/atom) = -1.4799
- DFT total energy (eV/atom) = -5.56